# 1
Compound: MnNiCl
Source: Alexandria via LeMat-Bulk
Functional: SCAN
Structure: PBEsol geometry

a b c (Å): 2.9097 2.9097 10.0122
angles (deg): 90.00 90.00 90.00
Space group I4mm (No. 107)
One atom of each set of equivalent atoms:
Mn 0.0000 0.0000 0.0000 (multiplicity 2)
Ni 0.0000 0.0000 0.3564 (multiplicity 2)
Cl 0.0000 0.0000 0.6717 (multiplicity 2)

Results
Calculated total energy = -14.241 eV per atom
Spin magnetization = 1.602 μB/atom
Energy above the most stable polymorph in this dataset = 140.8 meV per atom
Uncorrected formation energy = -105.7 meV per atom

# 2
Compound: ZrTcW2
Source: Alexandria via LeMat-Bulk
Functional: SCAN
Structure: PBEsol geometry

a b c (Å): 5.2819 9.3251 2.6936
angles (deg): 90.00 90.00 90.00
Space group Cmmm (No. 65)
One atom of each set of equivalent atoms:
Zr 0.0000 0.0000 0.0000 (multiplicity 2)
Tc 0.0000 0.5000 0.0000 (multiplicity 2)
W 0.2500 0.2500 0.5000 (multiplicity 4)

Results
Calculated total energy = -50.963 eV per atom
Spin magnetization = 0.000 μB/atom
Energy above the most stable polymorph in this dataset = 340.2 meV per atom

# 3
Compound: TiTePtI2
Source: Alexandria via LeMat-Bulk
Functional: SCAN
Structure: PBEsol geometry

a b c (Å): 5.2943 5.2943 5.3342
angles (deg): 90.00 90.00 90.00
Space group P4/mmm (No. 123)
One atom of each set of equivalent atoms:
Ti 0.0000 0.0000 0.0000 (multiplicity 1)
Te 0.5000 0.5000 0.0000 (multiplicity 1)
Pt 0.5000 0.5000 0.5000 (multiplicity 1)
I 0.0000 0.5000 0.5000 (multiplicity 2)

Results
Calculated total energy = -39.087 eV per atom
Spin magnetization = 0.401 μB/atom
Energy above the most stable polymorph in this dataset = 0.0 meV per atom
Uncorrected formation energy = 304.6 meV per atom

# 4
Compound: La2PdCl
Source: Alexandria via LeMat-Bulk
Functional: SCAN
Structure: PBEsol geometry

a b c (Å): 7.2104 7.2104 7.2104
angles (deg): 90.00 90.00 90.00
Space group Fm-3m (No. 225)
One atom of each set of equivalent atoms:
La 0.2500 0.2500 0.2500 (multiplicity 8)
Pd 0.0000 0.0000 0.0000 (multiplicity 4)
Cl 0.0000 0.0000 0.5000 (multiplicity 4)

Results
Calculated total energy = -32.822 eV per atom
Spin magnetization = 0.376 μB/atom
Uncorrected formation energy = -1080.9 meV per atom

# 5
Compound: Ba2SiRu
Source: Alexandria via LeMat-Bulk
Functional: SCAN
Structure: PBEsol geometry

a b c (Å): 3.8682 4.1556 6.6713
angles (deg): 90.00 90.10 90.00
Space group P2/m (No. 10)
One atom of each set of equivalent atoms:
Ba 0.0010 0.0000 0.2535 (multiplicity 2)
Si 0.5000 0.5000 0.0000 (multiplicity 1)
Ru 0.5000 0.5000 0.5000 (multiplicity 1)

Results
Calculated total energy = -30.435 eV per atom
Spin magnetization = 0.254 μB/atom
Uncorrected formation energy = 550.6 meV per atom

# 6
Compound: ZrPb2Se
Source: Alexandria via LeMat-Bulk
Functional: SCAN
Structure: PBEsol geometry

a b c (Å): 11.4642 3.3748 5.3133
angles (deg): 90.00 107.53 90.00
Space group Cm (No. 8)
One atom of each set of equivalent atoms:
Zr 0.0000 0.0000 0.0000 (multiplicity 2)
Pb 0.2474 0.0000 0.8516 (multiplicity 2)
Pb 0.4542 0.0000 0.4809 (multiplicity 2)
Se 0.1705 0.5000 0.2789 (multiplicity 2)

Results
Calculated total energy = -51.001 eV per atom
Spin magnetization = 0.000 μB/atom
Uncorrected formation energy = -415.8 meV per atom

# 7
Compound: Sb2IrPt
Source: Alexandria via LeMat-Bulk
Functional: SCAN
Structure: PBEsol geometry

a b c (Å): 3.2513 3.2823 6.9255
angles (deg): 90.00 90.00 90.00
Space group Pmmm (No. 47)
One atom of each set of equivalent atoms:
Sb 0.0000 0.0000 0.2433 (multiplicity 2)
Ir 0.5000 0.5000 0.0000 (multiplicity 1)
Pt 0.5000 0.5000 0.5000 (multiplicity 1)

Results
Calculated total energy = -53.719 eV per atom
Spin magnetization = 0.000 μB/atom
Uncorrected formation energy = 234.4 meV per atom

# 8
Compound: Ca2AlHg
Source: Alexandria via LeMat-Bulk
Functional: SCAN
Structure: PBEsol geometry

a b c (Å): 8.2403 8.2403 6.7815
angles (deg): 90.00 90.00 90.00
Space group I-42d (No. 122)
One atom of each set of equivalent atoms:
Ca 0.2413 0.7500 0.1250 (multiplicity 8)
Al 0.0000 0.0000 0.5000 (multiplicity 4)
Hg 0.0000 0.0000 0.0000 (multiplicity 4)

Results
Calculated total energy = -23.881 eV per atom
Spin magnetization = 0.000 μB/atom
Energy above the most stable polymorph in this dataset = 384.7 meV per atom

# 9
Compound: CaHg2Br
Source: Alexandria via LeMat-Bulk
Functional: SCAN
Structure: PBEsol geometry

a b c (Å): 7.4115 7.4115 7.4115
angles (deg): 90.00 90.00 90.00
Space group F-43m (No. 216)
One atom of each set of equivalent atoms:
Ca 0.0000 0.0000 0.0000 (multiplicity 4)
Hg 0.0000 0.0000 0.5000 (multiplicity 4)
Hg 0.2500 0.2500 0.2500 (multiplicity 4)
Br 0.2500 0.2500 0.7500 (multiplicity 4)

Results
Calculated total energy = -42.044 eV per atom
Spin magnetization = 0.000 μB/atom
Energy above the most stable polymorph in this dataset = 90.8 meV per atom
Uncorrected formation energy = -680.8 meV per atom

# 10
Compound: ErTmPd2
Source: Alexandria via LeMat-Bulk
Functional: SCAN
Structure: PBEsol geometry

a b c (Å): 6.8258 6.8258 6.8258
angles (deg): 90.00 90.00 90.00
Space group Fm-3m (No. 225)
One atom of each set of equivalent atoms:
Er 0.0000 0.0000 0.0000 (multiplicity 4)
Tm 0.0000 0.0000 0.5000 (multiplicity 4)
Pd 0.2500 0.2500 0.2500 (multiplicity 8)

Results
Calculated total energy = -42.964 eV per atom
Spin magnetization = 0.000 μB/atom

# 11
Compound: Mn2ZnSe
Source: Alexandria via LeMat-Bulk
Functional: SCAN
Structure: PBEsol geometry

a b c (Å): 3.3047 3.3047 5.1804
angles (deg): 90.00 90.00 90.00
Space group P4mm (No. 99)
One atom of each set of equivalent atoms:
Mn 0.0000 0.0000 0.0000 (multiplicity 1)
Mn 0.5000 0.5000 0.2747 (multiplicity 1)
Zn 0.5000 0.5000 0.7977 (multiplicity 1)
Se 0.0000 0.0000 0.4730 (multiplicity 1)

Results
Calculated total energy = -17.666 eV per atom
Spin magnetization = 1.839 μB/atom
Energy above the most stable polymorph in this dataset = 0.0 meV per atom
Uncorrected formation energy = -140.0 meV per atom

# 12
Compound: V2NiTe2O10
Source: Alexandria via LeMat-Bulk
Functional: SCAN
Structure: PBEsol geometry

a b c (Å): 4.7141 6.2830 6.4043
angles (deg): 84.94 69.02 73.59
Space group P-1 (No. 2)
One atom of each set of equivalent atoms:
V 0.1464 0.1159 0.1266 (multiplicity 2)
Ni 0.5000 0.0000 0.5000 (multiplicity 1)
Te 0.2364 0.5993 0.2833 (multiplicity 2)
O 0.1013 0.8247 0.0719 (multiplicity 2)
O 0.1619 0.8469 0.6310 (multiplicity 2)
O 0.2081 0.3319 0.5377 (multiplicity 2)
O 0.2316 0.3855 0.0845 (multiplicity 2)
O 0.4637 0.9678 0.2082 (multiplicity 2)

Results
Calculated total energy = -14.347 eV per atom
Spin magnetization = 0.133 μB/atom
Uncorrected formation energy = -1815.6 meV per atom

Q: calculated total energy of number 7 (Sb2IrPt)?
A: -53.719 eV per atom